Crystalline AcDyAu at its relaxed geometry. Source: Alexandria, functional PBE-GGA.

Results
Relative energy among the computed polymorphs ... 0.047 eV/atom
Formation enthalpy at 0 K ... -156 kJ/mol of formula units
Density ... 10.546 g/cm3
SG ... No. 46

Lattice parameters (Å, degrees): 9.481 9.481 9.481 114.46 85.40 131.77
Atoms (fractional coordinates):
Ac (0.000, 0.250, 0.250)
Ac (0.000, 0.750, 0.750)
Ac (0.398, 0.349, 0.550)
Ac (0.399, 0.849, 0.049)
Ac (0.799, 0.849, 0.450)
Ac (0.800, 0.349, 0.951)
Dy (0.133, 0.262, 0.871)
Dy (0.133, 0.762, 0.371)
Dy (0.391, 0.262, 0.129)
Dy (0.391, 0.762, 0.629)
Dy (0.655, 0.155, 0.500)
Dy (0.655, 0.655, 0.000)
Au (0.056, 0.388, 0.669)
Au (0.056, 0.888, 0.169)
Au (0.409, 0.159, 0.750)
Au (0.409, 0.659, 0.250)
Au (0.719, 0.388, 0.331)
Au (0.719, 0.888, 0.831)